(1)
This record from the Alexandria database describes TaCu2Ni after structural relaxation. The functional is GGA-PBE.

Computed properties:
**Energy of formation**: 0.7 eV per formula unit
**DOS(E_F)**: 3.3 states/eV/f.u.
**V**: 13.5 A^3/atom

```
TaCu2Ni
1.0
5.142 0.000 0.000
0.000 7.852 0.000
0.000 0.000 2.675
Ta Cu Ni
2 4 2
direct
0.000 0.000 0.000 Ta
0.500 0.500 0.000 Ta
0.250 0.250 0.500 Cu
0.250 0.750 0.500 Cu
0.750 0.250 0.500 Cu
0.750 0.750 0.500 Cu
0.000 0.500 0.000 Ni
0.500 0.000 0.000 Ni
```


(2)
This record from the Alexandria database describes TaCu2Ni after structural relaxation. The functional is GGA-PBE.

Computed properties:
**Energy of formation**: 0.2 eV per formula unit
**DOS(E_F)**: 2.0 states/eV/f.u.
**V**: 13.3 A^3/atom

```
TaCu2Ni
1.0
8.723 0.000 0.000
0.000 2.718 0.000
-0.932 0.000 4.499
Ta Cu Ni
2 4 2
direct
0.000 0.000 0.000 Ta
0.500 0.500 0.000 Ta
0.009 0.500 0.506 Cu
0.261 0.500 0.293 Cu
0.509 0.000 0.506 Cu
0.761 0.000 0.293 Cu
0.246 0.000 0.779 Ni
0.746 0.500 0.779 Ni
```


(3)
This record from the Alexandria database describes TaCu2Ni after structural relaxation. The functional is GGA-PBE.

Computed properties:
**Energy of formation**: 1.9 eV per formula unit
**DOS(E_F)**: 4.7 states/eV/f.u.
**V**: 14.2 A^3/atom

```
TaCu2Ni
1.0
6.826 0.000 0.000
0.000 6.826 0.000
0.000 0.000 4.887
Ta Cu Ni
4 8 4
direct
0.000 0.000 0.000 Ta
0.000 0.500 0.250 Ta
0.500 0.000 0.750 Ta
0.500 0.500 0.500 Ta
0.222 0.750 0.625 Cu
0.250 0.222 0.375 Cu
0.250 0.278 0.875 Cu
0.278 0.750 0.125 Cu
0.722 0.250 0.125 Cu
0.750 0.722 0.875 Cu
0.750 0.778 0.375 Cu
0.778 0.250 0.625 Cu
0.000 0.000 0.500 Ni
0.000 0.500 0.750 Ni
0.500 0.000 0.250 Ni
0.500 0.500 0.000 Ni
```